Entry from Alexandria: K2Ga2Mo after structural relaxation (PBE-GGA).

The structure in POSCAR format:
```
K2Ga2Mo
1.0
-3.535 0.623 -9.200
-9.218 0.025 3.544
0.070 2.788 0.162
Mo K Ga
2 4 4
Direct
0.000 0.000 0.000
0.500 0.500 0.000
0.364 0.864 0.000
0.864 0.636 0.000
0.636 0.136 0.000
0.136 0.364 0.000
0.163 0.663 0.500
0.663 0.837 0.500
0.837 0.337 0.500
0.337 0.163 0.500
```

The total magnetization is 0.339 μB per atom. The space group is P4/mbm. The energy of formation from the pure elements comes out at 1.05 eV per atom. The energy above the lowest structure with this stoichiometry comes out at 0.122 eV/atom.